No. 1
The following is a GGA-PBEsol calculation of a relaxed LiY3Cd crystal, from Alexandria via LeMat-Bulk.

Summary:
N(E_F): 7.95 states/eV per cell
Energy relative to the elements: 0.471 eV/atom

Cell lengths 5.2002, 5.2002, 5.2002 Å; angles 90.00, 90.00, 90.00 degrees
Closest atoms and distances in Å follow each position.
Positions (direct):
Li 0.0000 0.0000 0.0000  6 Y 2.60
Y 0.0000 0.0000 0.5000  2 Li 2.60
Y 0.0000 0.5000 0.0000  2 Li 2.60
Y 0.5000 0.0000 0.0000  2 Li 2.60
Cd 0.5000 0.5000 0.5000  12 Y 3.68



No. 2
The following is a GGA-PBEsol calculation of a relaxed LiPO2 crystal, from Alexandria via LeMat-Bulk.

Summary:
N(E_F): 1.36 states/eV per cell
Formation energy without anion corrections: -1129.3 meV per atom

Cell lengths 5.8654, 5.8654, 5.8654 Å; angles 137.24, 137.24, 62.07 degrees
Closest atoms and distances in Å follow each position.
Positions (direct):
Li 0.0000 0.0000 0.0000  4 O 2.05
Li 0.7500 0.2500 0.5000  4 O 2.05
P 0.2500 0.7500 0.5000  4 O 1.89
P 0.5000 0.5000 0.0000  4 O 1.89
O 0.1595 0.6250 0.0345  2 P 1.89, 2 Li 2.05
O 0.3750 0.4095 0.5345  2 P 1.89, 2 Li 2.05
O 0.5905 0.1250 0.9655  2 P 1.89, 2 Li 2.05
O 0.8750 0.8405 0.4655  2 P 1.89, 2 Li 2.05



No. 3
The following is a GGA-PBEsol calculation of a relaxed EuN crystal, from Alexandria via LeMat-Bulk.

Summary:
N(E_F): 3.24 states/eV per cell
Formation energy without anion corrections: -1086.0 meV per atom

Cell lengths 3.5313, 3.5313, 3.5313 Å; angles 60.00, 60.00, 60.00 degrees
Closest atoms and distances in Å follow each position.
Positions (direct):
Eu 0.0000 0.0000 0.0000  6 N 2.50
N 0.5000 0.5000 0.5000  6 Eu 2.50



No. 4
The following is a GGA-PBEsol calculation of a relaxed MnAgRu crystal, from Alexandria via LeMat-Bulk.

Summary:
N(E_F): 2.85 states/eV per cell
Energy relative to the elements: 0.356 eV/atom
Energy above the most stable polymorph in this dataset: 0.00 eV/f.u.

Cell lengths 5.8865, 5.8865, 5.8865 Å; angles 153.35, 153.35, 38.04 degrees
Closest atoms and distances in Å follow each position.
Positions (direct):
Mn 0.0000 0.0000 0.0000  4 Ru 2.38
Ag 0.3196 0.3196 0.0000  4 Ag 2.71, 4 Mn 2.78, 4 Ru 2.88
Ru 0.6263 0.6263 0.0000  4 Mn 2.38



No. 5
The following is a GGA-PBEsol calculation of a relaxed MgTlIn2 crystal, from Alexandria via LeMat-Bulk.

Summary:
N(E_F): 1.66 states/eV per cell
Energy relative to the elements: -0.030 eV/atom

Cell lengths 5.8294, 5.8294, 5.4004 Å; angles 101.67, 101.67, 33.66 degrees
Closest atoms and distances in Å follow each position.
Positions (direct):
Mg 0.0000 0.0000 0.0000  7 In 3.17-3.49, 3 Tl 3.25-3.32, 2 Mg 3.38
Tl 0.2527 0.2527 0.7688  7 In 3.18-3.41, 3 Mg 3.25-3.32, 2 Tl 3.38
In 0.4933 0.4933 0.4947  4 Mg 3.17-3.20, 5 In 3.26-3.38, 3 Tl 3.33-3.41
In 0.7398 0.7398 0.2618  4 Tl 3.18-3.19, 3 Mg 3.23-3.49, 5 In 3.26-3.38



No. 6
The following is a GGA-PBEsol calculation of a relaxed TlAg2Sb crystal, from Alexandria via LeMat-Bulk.

Summary:
N(E_F): 1.31 states/eV per cell
Formation energy without anion corrections: 120.4 meV per atom

Cell lengths 4.7802, 4.7802, 5.9528 Å; angles 100.88, 100.88, 40.88 degrees
Closest atoms and distances in Å follow each position.
Positions (direct):
Tl 0.0000 0.0000 0.0000  6 Ag 2.94-2.97
Ag 0.2483 0.2483 0.7435  3 Sb 2.92, 3 Tl 2.94-2.97
Ag 0.7517 0.7517 0.2565  3 Sb 2.92, 3 Tl 2.94-2.97
Sb 0.5000 0.5000 0.5000  6 Ag 2.92



No. 7
The following is a GGA-PBEsol calculation of a relaxed LaPrHg2 crystal, from Alexandria via LeMat-Bulk.

Summary:
N(E_F): 4.62 states/eV per cell
Energy relative to the elements: -0.544 eV/atom

Cell lengths 5.3886, 5.3886, 5.3886 Å; angles 60.00, 60.00, 60.00 degrees
Closest atoms and distances in Å follow each position.
Positions (direct):
La 0.0000 0.0000 0.0000  8 Hg 3.30
Pr 0.5000 0.5000 0.5000  8 Hg 3.30
Hg 0.2500 0.2500 0.2500  4 Pr 3.30, 4 La 3.30
Hg 0.7500 0.7500 0.7500  4 Pr 3.30, 4 La 3.30



No. 8
The following is a GGA-PBEsol calculation of a relaxed Fe2P crystal, from Alexandria via LeMat-Bulk.

Summary:
N(E_F): 11.75 states/eV per cell
Energy relative to the elements: -0.538 eV/atom

Cell lengths 5.6205, 5.6205, 3.4305 Å; angles 90.00, 90.00, 120.00 degrees
Closest atoms and distances in Å follow each position.
Positions (direct):
Fe 0.0000 0.2572 0.0000  4 P 2.12-2.24
Fe 0.0000 0.5978 0.5000  5 P 2.26-2.42
Fe 0.2572 0.0000 0.0000  4 P 2.12-2.24
Fe 0.4022 0.4022 0.5000  5 P 2.26-2.42
Fe 0.5978 0.0000 0.5000  5 P 2.26-2.42
Fe 0.7428 0.7428 0.0000  4 P 2.12-2.24
P 0.0000 0.0000 0.5000  9 Fe 2.24-2.26
P 0.3333 0.6667 0.0000  3 Fe 2.12
P 0.6667 0.3333 0.0000  3 Fe 2.12